No. 1
A plane-wave DFT calculation with GGA+U was carried out for crystalline CaAl4NiO8 at its relaxed geometry.

space-group type	R3m

a b c (Å): 5.8587 5.8587 5.9601
angles (deg): 60.56 60.56 60.00
With the nearest neighbours (Å) after each atom.
Positions (direct):
Ca1 0.3748 0.3748 0.8755  4 O 2.08-2.09
Al1 0.6197 0.6197 0.1409  4 O 1.87-1.97
Al2 0.0056 0.4866 0.5022  5 O 1.85-2.03
Al3 0.4866 0.0056 0.5022  5 O 1.85-2.03
Al4 0.0056 0.0056 0.5022  5 O 1.85-2.03
Ni1 0.0031 0.0031 0.9907  6 O 2.03-2.15
O1 0.2429 0.8076 0.7067  2 Al 1.85, 1 Ni 2.03
O2 0.8076 0.2429 0.7067  2 Al 1.85, 1 Ni 2.03
O3 0.2429 0.2429 0.7067  2 Al 1.85, 1 Ni 2.03
O4 0.2327 0.2327 0.3019  3 Al 1.90, 1 Ca 2.09
O5 0.7470 0.2310 0.2750  3 Al 1.87-2.03
O6 0.2310 0.7470 0.2750  3 Al 1.87-2.03
O7 0.7470 0.7470 0.2750  3 Al 1.87-2.03
O8 0.7535 0.7535 0.7395  4 Al 1.97-2.11



No. 2
A plane-wave DFT calculation with GGA+U was carried out for crystalline Ca2AlNiO5 at its relaxed geometry.

space-group type	Ima2

a b c (Å): 8.2135 8.2135 8.2135
angles (deg): 142.82 139.55 56.10
With the nearest neighbours (Å) after each atom.
Positions (direct):
Ca1 0.3557 0.8856 0.4597  7 O 2.31-2.57
Ca2 0.0742 0.6040 0.4597  7 O 2.31-2.57
Ca3 0.6443 0.1040 0.5299  7 O 2.31-2.57
Ca4 0.9258 0.3856 0.5299  7 O 2.31-2.57
Al1 0.6715 0.7087 0.8802  4 O 1.76-1.81
Al2 0.3285 0.2087 0.0372  4 O 1.76-1.81
Ni1 0.5000 0.5061 0.0061  6 O 1.94-2.17
Ni2 0.0000 0.0061 0.0061  6 O 1.94-2.17
O1 0.6081 0.3699 0.4780  2 Al 1.80-1.81
O2 0.3919 0.8699 0.7618  2 Al 1.80-1.81
O3 0.2828 0.3827 0.9586  1 Al 1.76
O4 0.7172 0.6758 0.0998  1 Al 1.76
O5 0.9241 0.8827 0.0998  1 Al 1.76
O6 0.0759 0.1758 0.9586  1 Al 1.76
O7 0.2630 0.7696 0.9975  2 Ni 1.94-1.95
O8 0.7370 0.7345 0.5065  2 Ni 1.94-1.95
O9 0.7279 0.2345 0.9975  2 Ni 1.94-1.95
O10 0.2721 0.2696 0.5065  2 Ni 1.94-1.95



No. 3
A plane-wave DFT calculation with GGA+U was carried out for crystalline CaAlNiO2 at its relaxed geometry.

space-group type	P4/mmm

a b c (Å): 3.6193 6.6957 3.6193
angles (deg): 90.00 90.00 90.00
With the nearest neighbours (Å) after each atom.
Positions (direct):
Ni1 0.5000 0.5000 0.5000  4 Ca 2.56
Ca1 0.0000 0.5000 0.0000  4 Ni 2.56
Al1 0.0000 0.0000 0.0000  4 O 1.81
O1 0.0000 0.0000 0.5000  2 Al 1.81
O2 0.5000 0.0000 0.0000  2 Al 1.81



No. 4
A plane-wave DFT calculation with GGA+U was carried out for crystalline CaAlNi2O at its relaxed geometry.

space-group type	P4/mmm

a b c (Å): 4.5369 3.7401 4.5369
angles (deg): 90.00 90.00 90.00
With the nearest neighbours (Å) after each atom.
Positions (direct):
Ni1 0.0000 0.0000 0.5000  2 Al 2.27
Ni2 0.5000 0.0000 0.0000  2 Al 2.27
Ca1 0.5000 0.5000 0.5000  8 Ni 2.94, 4 O 3.21
Al1 0.0000 0.0000 0.0000  2 O 1.87
O1 0.0000 0.5000 0.0000  2 Al 1.87



No. 5
A plane-wave DFT calculation with GGA+U was carried out for crystalline Ca2AlNiO5 at its relaxed geometry.

space-group type	Cmc2_1

a b c (Å): 3.1554 6.7114 10.2174
angles (deg): 90.00 90.00 103.60
With the nearest neighbours (Å) after each atom.
Positions (direct):
Ca1 0.8579 0.7159 0.8076  7 O 2.39-2.52
Ca2 0.0995 0.1989 0.6686  6 O 2.35-2.44
Ca3 0.1421 0.2841 0.3076  7 O 2.39-2.52
Ca4 0.9005 0.8010 0.1686  6 O 2.35-2.44
Al1 0.5538 0.1076 0.9433  4 O 1.76-1.83
Al2 0.4462 0.8924 0.4433  4 O 1.76-1.83
Ni1 0.7779 0.5559 0.5289  5 O 1.88-2.08
Ni2 0.2221 0.4441 0.0289  5 O 1.88-2.08
O1 0.3647 0.7294 0.0004  1 Ni 1.88
O2 0.6902 0.3804 0.9021  1 Al 1.83
O3 0.4991 0.9982 0.7860  1 Al 1.76
O4 0.2792 0.5584 0.6587  2 Ni 2.06
O5 0.9482 0.8965 0.5284  2 Al 1.80
O6 0.6353 0.2706 0.5004  1 Ni 1.88
O7 0.3098 0.6196 0.4021  1 Al 1.83
O8 0.5009 0.0018 0.2860  1 Al 1.76
O9 0.7208 0.4416 0.1587  2 Ni 2.06
O10 0.0518 0.1035 0.0284  2 Al 1.80



no.,spin magnetization (μB/f.u.),electronic total energy (eV per atom)
1,2.000,-6.86
2,0.993,-6.29
3,0.248,-4.11
4,0.000,-3.06
5,3.036,-6.20